# PBE-GGA TaSi2B, optimized geometry
# Energy relative to the elements, uncorrected, kJ per mole of atoms: 17.98
# Theoretical density, Mg/m³: 7.80
data_TaSi2B
_space_group_name_H-M_alt 'I -4 2 d'
_space_group_IT_number 122
_space_group_name_Hall 'I -4 2bw'
_cell_length_a 6.357
_cell_length_b 6.357
_cell_length_c 5.221
_cell_angle_alpha 90.00
_cell_angle_beta 90.00
_cell_angle_gamma 90.00
loop_
_atom_site_label
_atom_site_type_symbol
_atom_site_fract_x
_atom_site_fract_y
_atom_site_fract_z
Ta1 Ta 0.000 0.000 0.000
Si1 Si 0.169 0.250 0.625
B1 B 0.000 0.000 0.500